# CrGePdPt (GGA-PBE, relaxed)
# DFT formation energy	-162	meV per atom
# distance to the lowest polymorph of the same formula	78	meV/atom
data_CrGePdPt
_chemical_formula_sum 'Cr2 Ge2 Pd2 Pt2'
_cell_length_a 8.6430
_cell_length_b 3.0187
_cell_length_c 4.7414
_cell_angle_alpha 90.00
_cell_angle_beta 100.70
_cell_angle_gamma 90.00
_symmetry_space_group_name_H-M 'C 1 m 1'
_symmetry_Int_Tables_number 8
loop_
_symmetry_equiv_pos_as_xyz
'x,y,z'
'x,-y,z'
'x+1/2,y+1/2,z'
'x+1/2,-y+1/2,z'
loop_
_atom_site_label
_atom_site_fract_x
_atom_site_fract_y
_atom_site_fract_z
_atom_site_occupancy
Cr1 0.0000 0.0000 0.0000 1
Ge1 0.4973 0.0000 0.4981 1
Pd1 0.2517 0.0000 0.7488 1
Pt1 0.2445 0.5000 0.2390 1

# CrGePdPt (GGA-PBE, relaxed)
# DFT formation energy	-204	meV per atom
# distance to the lowest polymorph of the same formula	36	meV/atom
data_CrGePdPt
_chemical_formula_sum 'Cr2 Ge2 Pd2 Pt2'
_cell_length_a 3.9342
_cell_length_b 4.1010
_cell_length_c 7.4578
_cell_angle_alpha 90.00
_cell_angle_beta 90.00
_cell_angle_gamma 90.00
_symmetry_space_group_name_H-M 'I m m 2'
_symmetry_Int_Tables_number 44
loop_
_symmetry_equiv_pos_as_xyz
'x,y,z'
'-x,-y,z'
'-x,y,z'
'x,-y,z'
'x+1/2,y+1/2,z+1/2'
'-x+1/2,-y+1/2,z+1/2'
'-x+1/2,y+1/2,z+1/2'
'x+1/2,-y+1/2,z+1/2'
loop_
_atom_site_label
_atom_site_fract_x
_atom_site_fract_y
_atom_site_fract_z
_atom_site_occupancy
Cr1 0.0000 0.0000 0.0000 1
Ge1 0.0000 0.0000 0.4992 1
Pd1 0.0000 0.5000 0.2420 1
Pt1 0.0000 0.5000 0.7574 1

# CrGePdPt (GGA-PBE, relaxed)
# DFT formation energy	-123	meV per atom
# distance to the lowest polymorph of the same formula	116	meV/atom
data_CrGePdPt
_chemical_formula_sum 'Cr2 Ge2 Pd2 Pt2'
_cell_length_a 3.8490
_cell_length_b 2.8295
_cell_length_c 10.7255
_cell_angle_alpha 90.00
_cell_angle_beta 90.00
_cell_angle_gamma 90.00
_symmetry_space_group_name_H-M 'A m m 2'
_symmetry_Int_Tables_number 38
loop_
_symmetry_equiv_pos_as_xyz
'x,y,z'
'-x,-y,z'
'-x,y,z'
'x,-y,z'
'x,y+1/2,z+1/2'
'-x,-y+1/2,z+1/2'
'-x,y+1/2,z+1/2'
'x,-y+1/2,z+1/2'
loop_
_atom_site_label
_atom_site_fract_x
_atom_site_fract_y
_atom_site_fract_z
_atom_site_occupancy
Cr1 0.0000 0.0000 0.0000 1
Ge1 0.5000 0.0000 0.1457 1
Pd1 0.0000 0.0000 0.7424 1
Pt1 0.5000 0.0000 0.3962 1

# CrGePdRh (GGA-PBE, relaxed)
# DFT formation energy	-198	meV per atom
data_CrGePdRh
_chemical_formula_sum 'Cr4 Ge4 Pd4 Rh4'
_cell_length_a 6.1500
_cell_length_b 6.1500
_cell_length_c 6.1500
_cell_angle_alpha 90.00
_cell_angle_beta 90.00
_cell_angle_gamma 90.00
_symmetry_space_group_name_H-M 'F -4 3 m'
_symmetry_Int_Tables_number 216
_symmetry_space_group_name_Hall 'F -4 2 3'
loop_
_atom_site_label
_atom_site_fract_x
_atom_site_fract_y
_atom_site_fract_z
_atom_site_occupancy
Cr1 0.0000 0.0000 0.0000 1
Ge1 0.0000 0.0000 0.5000 1
Pd1 0.2500 0.2500 0.2500 1
Rh1 0.2500 0.2500 0.7500 1

# CrTcGePd (GGA-PBE, relaxed)
# DFT formation energy	-64	meV per atom
data_CrTcGePd
_chemical_formula_sum 'Cr4 Tc4 Ge4 Pd4'
_cell_length_a 6.1223
_cell_length_b 6.1223
_cell_length_c 6.1223
_cell_angle_alpha 90.00
_cell_angle_beta 90.00
_cell_angle_gamma 90.00
_symmetry_space_group_name_H-M 'F -4 3 m'
_symmetry_Int_Tables_number 216
_symmetry_space_group_name_Hall 'F -4 2 3'
loop_
_atom_site_label
_atom_site_fract_x
_atom_site_fract_y
_atom_site_fract_z
_atom_site_occupancy
Cr1 0.0000 0.0000 0.0000 1
Tc1 0.2500 0.2500 0.2500 1
Ge1 0.0000 0.0000 0.5000 1
Pd1 0.2500 0.2500 0.7500 1

# Pm12CrGe7 (GGA-PBE, relaxed)
# DFT formation energy	-402	meV per atom
data_Pm12CrGe7
_chemical_formula_sum 'Pm36 Cr3 Ge21'
_cell_length_a 14.9572
_cell_length_b 14.9572
_cell_length_c 8.9952
_cell_angle_alpha 90.00
_cell_angle_beta 90.00
_cell_angle_gamma 120.00
_symmetry_space_group_name_H-M 'R -3'
_symmetry_Int_Tables_number 148
_symmetry_space_group_name_Hall '-R 3'
loop_
_atom_site_label
_atom_site_fract_x
_atom_site_fract_y
_atom_site_fract_z
_atom_site_occupancy
Pm1 0.0269 0.5859 0.3121 1
Pm2 0.0464 0.8718 0.2731 1
Cr1 0.0000 0.0000 0.0000 1
Ge1 0.0000 0.0000 0.5000 1
Ge2 0.0501 0.8626 0.9188 1

# PmCrGe3 (GGA-PBE, relaxed)
# DFT formation energy	-396	meV per atom
data_PmCrGe3
_chemical_formula_sum 'Pm2 Cr2 Ge6'
_cell_length_a 6.1390
_cell_length_b 6.1390
_cell_length_c 5.7115
_cell_angle_alpha 90.00
_cell_angle_beta 90.00
_cell_angle_gamma 120.00
_symmetry_space_group_name_H-M 'P 63/m m c'
_symmetry_Int_Tables_number 194
_symmetry_space_group_name_Hall '-P 6c 2c'
loop_
_atom_site_label
_atom_site_fract_x
_atom_site_fract_y
_atom_site_fract_z
_atom_site_occupancy
Pm1 0.3333 0.6667 0.2500 1
Cr1 0.0000 0.0000 0.0000 1
Ge1 0.1923 0.3845 0.7500 1

# Pm2CrGe6 (GGA-PBE, relaxed)
# DFT formation energy	-201	meV per atom
data_Pm2CrGe6
_chemical_formula_sum 'Pm4 Cr2 Ge12'
_cell_length_a 13.7079
_cell_length_b 6.6269
_cell_length_c 4.6047
_cell_angle_alpha 90.00
_cell_angle_beta 96.29
_cell_angle_gamma 90.00
_symmetry_space_group_name_H-M 'C 1 2/m 1'
_symmetry_Int_Tables_number 12
loop_
_symmetry_equiv_pos_as_xyz
'x,y,z'
'-x,-y,-z'
'-x,y,-z'
'x,-y,z'
'x+1/2,y+1/2,z'
'-x+1/2,-y+1/2,-z'
'-x+1/2,y+1/2,-z'
'x+1/2,-y+1/2,z'
loop_
_atom_site_label
_atom_site_fract_x
_atom_site_fract_y
_atom_site_fract_z
_atom_site_occupancy
Pm1 0.1599 0.0000 0.4072 1
Cr1 0.0000 0.5000 0.0000 1
Ge1 0.0000 0.3067 0.5000 1
Ge2 0.1627 0.3106 0.8913 1

# Pm2CrGe5 (GGA-PBE, relaxed)
# DFT formation energy	-356	meV per atom
data_Pm2CrGe5
_chemical_formula_sum 'Pm4 Cr2 Ge10'
_cell_length_a 6.1543
_cell_length_b 6.1543
_cell_length_c 8.9835
_cell_angle_alpha 90.00
_cell_angle_beta 90.00
_cell_angle_gamma 90.00
_symmetry_space_group_name_H-M 'I 4 m m'
_symmetry_Int_Tables_number 107
_symmetry_space_group_name_Hall 'I 4 -2'
loop_
_atom_site_label
_atom_site_fract_x
_atom_site_fract_y
_atom_site_fract_z
_atom_site_occupancy
Pm1 0.0000 0.5000 0.0000 1
Cr1 0.0000 0.0000 0.2669 1
Ge1 0.0000 0.0000 0.5375 1
Ge2 0.2158 0.2158 0.7555 1

# Pm2CrGe3Pt4 (GGA-PBE, relaxed)
# DFT formation energy	-793	meV per atom
data_Pm2CrGe3Pt4
_chemical_formula_sum 'Pm2 Cr1 Ge3 Pt4'
_cell_length_a 4.2626
_cell_length_b 4.2626
_cell_length_c 10.5496
_cell_angle_alpha 90.00
_cell_angle_beta 90.00
_cell_angle_gamma 90.00
_symmetry_space_group_name_H-M 'P -4 m 2'
_symmetry_Int_Tables_number 115
loop_
_symmetry_equiv_pos_as_xyz
'x,y,z'
'y,-x,-z'
'-x,-y,z'
'-y,x,-z'
'-x,y,z'
'-y,-x,-z'
'x,-y,z'
'y,x,-z'
loop_
_atom_site_label
_atom_site_fract_x
_atom_site_fract_y
_atom_site_fract_z
_atom_site_occupancy
Pm1 0.0000 0.5000 0.2481 1
Cr1 0.0000 0.0000 0.5000 1
Ge1 0.0000 0.5000 0.8675 1
Ge2 0.5000 0.5000 0.5000 1
Pt1 0.0000 0.0000 0.0000 1
Pt2 0.0000 0.5000 0.6361 1
Pt3 0.5000 0.5000 0.0000 1

# PmZnCrGe (GGA-PBE, relaxed)
# DFT formation energy	-107	meV per atom
data_PmZnCrGe
_chemical_formula_sum 'Pm4 Zn4 Cr4 Ge4'
_cell_length_a 6.7949
_cell_length_b 6.7949
_cell_length_c 6.7949
_cell_angle_alpha 90.00
_cell_angle_beta 90.00
_cell_angle_gamma 90.00
_symmetry_space_group_name_H-M 'F -4 3 m'
_symmetry_Int_Tables_number 216
_symmetry_space_group_name_Hall 'F -4 2 3'
loop_
_atom_site_label
_atom_site_fract_x
_atom_site_fract_y
_atom_site_fract_z
_atom_site_occupancy
Pm1 0.0000 0.0000 0.0000 1
Zn1 0.2500 0.2500 0.7500 1
Cr1 0.0000 0.0000 0.5000 1
Ge1 0.2500 0.2500 0.2500 1

# PrCrGe3 (GGA-PBE, relaxed)
# DFT formation energy	-399	meV per atom
data_PrCrGe3
_chemical_formula_sum 'Pr2 Cr2 Ge6'
_cell_length_a 6.1770
_cell_length_b 6.1770
_cell_length_c 5.7469
_cell_angle_alpha 90.00
_cell_angle_beta 90.00
_cell_angle_gamma 120.00
_symmetry_space_group_name_H-M 'P 63/m m c'
_symmetry_Int_Tables_number 194
_symmetry_space_group_name_Hall '-P 6c 2c'
loop_
_atom_site_label
_atom_site_fract_x
_atom_site_fract_y
_atom_site_fract_z
_atom_site_occupancy
Pr1 0.3333 0.6667 0.2500 1
Cr1 0.0000 0.0000 0.0000 1
Ge1 0.1920 0.3840 0.7500 1

Please write out number 4 again, unchanged.
# CrGePdRh (GGA-PBE, relaxed)
# DFT formation energy	-198	meV per atom
data_CrGePdRh
_chemical_formula_sum 'Cr4 Ge4 Pd4 Rh4'
_cell_length_a 6.1500
_cell_length_b 6.1500
_cell_length_c 6.1500
_cell_angle_alpha 90.00
_cell_angle_beta 90.00
_cell_angle_gamma 90.00
_symmetry_space_group_name_H-M 'F -4 3 m'
_symmetry_Int_Tables_number 216
_symmetry_space_group_name_Hall 'F -4 2 3'
loop_
_atom_site_label
_atom_site_fract_x
_atom_site_fract_y
_atom_site_fract_z
_atom_site_occupancy
Cr1 0.0000 0.0000 0.0000 1
Ge1 0.0000 0.0000 0.5000 1
Pd1 0.2500 0.2500 0.2500 1
Rh1 0.2500 0.2500 0.7500 1